Entry 1:
Crystalline Cd2BO3 at its relaxed geometry. Source: Alexandria via LeMat-Bulk, functional PBE.

The value obtained for the raw total energy is -5.31 eV per atom. Its uncorrected formation energy is -1.408 eV/atom. The calculation puts the mass density at 5.92 g/cm³.

The space group is C2/c (No. 15) and the conventional cell measures 9.999, 4.956 and 6.623 Å, with angles of 90.00, 104.07 and 90.00 degrees. The inequivalent atoms are Cd at (0.159, 0.027, 0.071), B at (0.000, 0.494, 0.250), O at (0.000, 0.223, 0.750) and O at (0.123, 0.350, 0.320).



Entry 2:
Crystalline CdBO3 at its relaxed geometry. Source: Alexandria via LeMat-Bulk, functional PBE.

The value obtained for the raw total energy is -5.82 eV per atom. Its uncorrected formation energy is -1.329 eV/atom. The calculation puts the mass density at 4.54 g/cm³.

The space group is R3m (No. 160, hexagonal axes) and the conventional cell measures 5.1027, 5.1027 and 8.3303 Å, with angles of 90.00, 90.00 and 120.00 degrees. The inequivalent atoms are Cd at (0.0000, 0.0000, 0.0000), B at (0.0000, 0.0000, 0.4768) and O at (0.0259, 0.5130, 0.1334).